# GaPtS2

Crystalline GaPtS2 at its relaxed geometry (GGA-PBE, Alexandria via LeMat-Bulk).

Unit cell a=3.5367 b=3.5367 c=24.5869 alpha=90.00 beta=90.00 gamma=120.00
Space group R-3m (No. 166, hexagonal axes)
One atom of each set of equivalent atoms:
Ga (0.0000, 0.0000, 0.0000) (multiplicity 3)
Pt (0.0000, 0.0000, 0.5000) (multiplicity 3)
S (0.0000, 0.0000, 0.1149) (multiplicity 6)

## Properties
The total energy comes out at -4.4635 eV per atom.